Crystalline NbCuHgGe at its relaxed geometry, computed with PBE.

Computed properties:
For the polymorph energy (0 for the lowest one), the calculation gives 0.0 meV/atom.

Lattice parameters (Å, degrees): 6.526 6.526 6.526 90.00 90.00 90.00
Space group F-43m (No. 216)
Symmetry-distinct sites (fractional):
Nb1 0.000 0.000 0.000 [4 per cell]
Cu1 0.000 0.000 0.500 [4 per cell]
Hg1 0.250 0.250 0.750 [4 per cell]
Ge1 0.250 0.250 0.250 [4 per cell]